The following is a PBE with a Hubbard U calculation of a relaxed FeSbRuO6 crystal, from Alexandria via LeMat-Bulk.

Results
Calculated volume in Å³/cell: 196.1
SG: P4_2nm, No. 102
E in eV/atom: -6.50

Cell lengths 4.582, 4.582, 9.341 Å; angles 90.00, 90.00, 90.00 degrees
Sites, in units of the cell vectors:
Fe1 0.000 0.000 0.000
Fe2 0.500 0.500 0.500
Sb1 0.000 0.000 0.668
Sb2 0.500 0.500 0.168
Ru1 0.000 0.000 0.334
Ru2 0.500 0.500 0.834
O1 0.188 0.188 0.164
O2 0.194 0.194 0.837
O3 0.198 0.198 0.500
O4 0.302 0.698 0.000
O5 0.306 0.694 0.337
O6 0.312 0.688 0.664
O7 0.688 0.312 0.664
O8 0.694 0.306 0.337
O9 0.698 0.302 0.000
O10 0.802 0.802 0.500
O11 0.806 0.806 0.837
O12 0.812 0.812 0.164